No. 1
! Fe2PbAu (GGA-PBE, relaxed); values from VASP
&SYSTEM
  ibrav = 0, nat = 4, ntyp = 3
/
ATOMIC_SPECIES
Fe 55.84 Fe.upf
Pb 207.20 Pb.upf
Au 196.97 Au.upf
CELL_PARAMETERS angstrom
2.9264 -3.6811 0.0000
2.9264 3.6811 0.0000
0.0000 0.0000 3.1626
ATOMIC_POSITIONS angstrom
Fe 1.4632 1.8405 0.0000
Fe 1.4632 -1.8405 0.0000
Pb 0.0000 0.0000 1.5813
Au 2.9264 0.0000 1.5813
! Size of the total moment, μB/atom: 1.365
! DOS(E_F), states/eV/f.u.: 3.43
! E_form, eV per atom: 0.46
! DFT total energy, eV/cell: -22.1

No. 2
! Li4TlPd (GGA-PBE, relaxed); values from VASP
&SYSTEM
  ibrav = 0, nat = 6, ntyp = 3
/
ATOMIC_SPECIES
Li 6.94 Li.upf
Tl 204.38 Tl.upf
Pd 106.42 Pd.upf
CELL_PARAMETERS angstrom
0.0000 3.5859 3.5859
3.5859 0.0000 3.5859
3.5859 3.5859 0.0000
ATOMIC_POSITIONS angstrom
Li 2.6989 2.6989 2.6989
Li 4.4729 4.4729 2.6989
Li 4.4729 2.6989 4.4729
Li 2.6989 4.4729 4.4729
Tl 0.0000 0.0000 0.0000
Pd 5.3789 5.3789 5.3789
! Energy above the most stable polymorph in this dataset, eV per formula unit: 0.634
! Size of the total moment, μB/atom: 0.000
! DOS(E_F), states/eV/f.u.: 1.58
! E_form, eV per atom: -0.15
! DFT total energy, eV/cell: -16.1

No. 3
! NbTl2TcW (GGA-PBE, relaxed); values from VASP
&SYSTEM
  ibrav = 0, nat = 5, ntyp = 4
/
ATOMIC_SPECIES
Nb 92.91 Nb.upf
Tl 204.38 Tl.upf
Tc 98.00 Tc.upf
W 183.84 W.upf
CELL_PARAMETERS angstrom
5.4012 0.0000 0.0000
0.0000 5.4012 0.0000
0.0000 0.0000 4.6836
ATOMIC_POSITIONS angstrom
Nb 0.0000 0.0000 0.0000
Tl 0.0000 2.7006 0.0000
Tl 2.7006 0.0000 0.0000
Tc 0.0000 0.0000 2.3418
W 2.7006 2.7006 2.3418
! Size of the total moment, μB/atom: 0.464
! DOS(E_F), states/eV/f.u.: 2.95
! E_form, eV per atom: 2.05
! DFT total energy, eV/cell: -27.9

No. 4
! Rb2CaZnTc (GGA-PBE, relaxed); values from VASP
&SYSTEM
  ibrav = 0, nat = 5, ntyp = 4
/
ATOMIC_SPECIES
Rb 85.47 Rb.upf
Ca 40.08 Ca.upf
Zn 65.41 Zn.upf
Tc 98.00 Tc.upf
CELL_PARAMETERS angstrom
6.3758 0.0000 0.0000
0.0000 6.3758 0.0000
0.0000 0.0000 5.9368
ATOMIC_POSITIONS angstrom
Rb 0.0000 3.1879 0.0000
Rb 3.1879 0.0000 0.0000
Ca 0.0000 0.0000 2.9684
Zn 0.0000 0.0000 0.0000
Tc 3.1879 3.1879 2.9684
! Size of the total moment, μB/atom: 0.761
! DOS(E_F), states/eV/f.u.: 6.80
! E_form, eV per atom: 1.22
! DFT total energy, eV/cell: -9.5

No. 5
! Li2Tb2ErGa2 (GGA-PBE, relaxed); values from VASP
&SYSTEM
  ibrav = 0, nat = 7, ntyp = 4
/
ATOMIC_SPECIES
Li 6.94 Li.upf
Tb 158.93 Tb.upf
Er 167.26 Er.upf
Ga 69.72 Ga.upf
CELL_PARAMETERS angstrom
2.2888 1.3215 8.8078
-2.2888 1.3215 8.8078
0.0000 -2.6429 8.8078
ATOMIC_POSITIONS angstrom
Li 0.0000 0.0000 2.8161
Li 0.0000 0.0000 23.6071
Tb 0.0000 0.0000 9.8992
Tb 0.0000 0.0000 16.5240
Er 0.0000 0.0000 13.2116
Ga 0.0000 0.0000 6.2482
Ga 0.0000 0.0000 20.1751
! Size of the total moment, μB/atom: 0.000
! DOS(E_F), states/eV/f.u.: 4.84
! E_form, eV per atom: -0.28
! DFT total energy, eV/cell: -25.6

No. 6
! V2RhBr2 (GGA-PBE, relaxed); values from VASP
&SYSTEM
  ibrav = 0, nat = 10, ntyp = 3
/
ATOMIC_SPECIES
V 50.94 V.upf
Rh 102.91 Rh.upf
Br 79.90 Br.upf
CELL_PARAMETERS angstrom
6.6095 0.0000 0.0000
0.0000 6.6095 0.0000
0.0000 0.0000 4.2130
ATOMIC_POSITIONS angstrom
V 0.9690 2.3358 0.0000
V 2.3358 5.6405 0.0000
V 4.2737 0.9690 0.0000
V 5.6405 4.2737 0.0000
Rh 0.0000 0.0000 0.0000
Rh 3.3047 3.3047 0.0000
Br 1.1274 4.4322 2.1065
Br 2.1773 1.1274 2.1065
Br 4.4322 5.4820 2.1065
Br 5.4820 2.1773 2.1065
! Energy above the most stable polymorph in this dataset, eV per formula unit: 0.000
! Size of the total moment, μB/atom: 0.828
! DOS(E_F), states/eV/f.u.: 6.08
! Formation energy without anion corrections, eV/f.u.: 2.45
! DFT total energy, eV/cell: -53.0

No. 7
! Ce3Ga8Os3 (GGA-PBE, relaxed); values from VASP
&SYSTEM
  ibrav = 0, nat = 14, ntyp = 3
/
ATOMIC_SPECIES
Ce 140.12 Ce.upf
Ga 69.72 Ga.upf
Os 190.23 Os.upf
CELL_PARAMETERS angstrom
-2.1362 4.9401 6.2079
2.1362 -4.9401 6.2079
2.1362 4.9401 -6.2079
ATOMIC_POSITIONS angstrom
Ce 0.0000 0.0000 0.0000
Ce 0.0000 0.0000 4.1513
Ce 0.0000 0.0000 8.2646
Ga 2.1362 -1.2998 2.1069
Ga 2.1362 -2.1597 4.6872
Ga 2.1362 1.2998 2.1069
Ga 0.0000 2.7803 1.5208
Ga 2.1362 2.1597 4.6872
Ga 0.0000 3.6403 4.1010
Ga 0.0000 7.0998 1.5208
Ga 0.0000 6.2399 4.1010
Os 2.1362 2.7863 0.0000
Os 0.0000 4.9401 0.0000
Os 0.0000 2.1538 6.2079
! Size of the total moment, μB/atom: 0.057
! DOS(E_F), states/eV/f.u.: 13.04
! E_form, eV per atom: -0.43
! DFT total energy, eV/cell: -81.7

No. 8
! Cs3ZnPb (GGA-PBE, relaxed); values from VASP
&SYSTEM
  ibrav = 0, nat = 10, ntyp = 3
/
ATOMIC_SPECIES
Cs 132.91 Cs.upf
Zn 65.41 Zn.upf
Pb 207.20 Pb.upf
CELL_PARAMETERS angstrom
6.9045 -5.6825 0.0000
6.9045 5.6825 0.0000
-5.7320 0.0000 7.1152
ATOMIC_POSITIONS angstrom
Cs -0.8484 0.0000 2.0262
Cs -0.6756 2.2218 5.7754
Cs -0.6756 -2.2218 5.7754
Cs 8.7526 2.2218 1.3397
Cs 8.7526 -2.2218 1.3397
Cs 8.9255 0.0000 5.0889
Zn 3.0717 0.0000 1.3205
Zn 5.0054 0.0000 5.7947
Pb 2.5904 0.0000 4.2712
Pb 5.4866 0.0000 2.8439
! Energy above the most stable polymorph in this dataset, eV per formula unit: 0.000
! Size of the total moment, μB/atom: 0.000
! DOS(E_F), states/eV/f.u.: 4.12
! E_form, eV per atom: 0.04
! DFT total energy, eV/cell: -14.7

- Look up the DFT total energy of the seventh one.
  -81.7 eV/cell